Compound: LaZrAg2
Source: the Alexandria database
Functional: GGA-PBE
Structure: relaxed

Calculated values
- Raw total energy: -4.700 eV per atom
- Energy above the lowest structure with this stoichiometry: 0.169 eV/atom
- SG: No. 12
- Crystal system: monoclinic
- Energy of formation: 0.094 eV/atom

Structure (POSCAR):
```
LaZrAg2
1.0
4.849 -1.894 0.000
4.849 1.894 0.000
-1.578 0.000 5.523
La Zr Ag
1 1 2
Cartesian
0.000 0.000 0.000
4.060 0.000 2.762
1.201 0.000 3.735
6.920 0.000 1.788
```